*P*
4
Lattice="11.039 -0.005 -0.003 10.524 3.331 -0.003 10.524 1.623 2.908" Properties=species:S:1:pos:R:3 comment="SrLi2Zr, relaxed, DFT PBE-GGA" sg="No. 166" mass_density_g_cm3=2.99 n_ef_per_ev_cell=4.5 pbc="T T T"
Sr 8.022 1.237 0.726
Zr 24.065 3.712 2.177
Li 15.804 2.438 1.430
Li 0.239 0.037 0.022

*Q*
4
Lattice="-4.030 3.544 3.605 -6.293 -0.239 -1.462 5.328 -3.097 1.956" Properties=species:S:1:pos:R:3 comment="SrLi2Zr, relaxed, DFT PBE-GGA" sg="No. 71" mass_density_g_cm3=2.88 n_ef_per_ev_cell=4.7 pbc="T T T"
Zr -1.932 1.050 3.316
Li -5.316 1.702 1.103
Li -10.170 3.256 2.111
Sr -3.064 -0.842 0.782

*R*
4
Lattice="6.221 0.067 0.000 2.989 5.457 0.000 -4.605 -2.762 3.143" Properties=species:S:1:pos:R:3 comment="SrLi2Zr, relaxed, DFT PBE-GGA" sg="No. 119" mass_density_g_cm3=3.02 n_ef_per_ev_cell=5.3 pbc="T T T"
Zr 3.111 0.033 1.571
Li 0.000 0.000 0.000
Li 1.494 2.728 1.571
Sr 4.605 2.762 0.000

*S*
4
Lattice="0.000 3.756 3.756 3.756 0.000 3.756 3.756 3.756 0.000" Properties=species:S:1:pos:R:3 comment="SrLi2Zr, relaxed, DFT PBE-GGA" sg="No. 225" mass_density_g_cm3=3.02 n_ef_per_ev_cell=4.8 pbc="T T T"
Li 5.633 5.633 5.633
Li 1.878 1.878 1.878
Zr 3.756 3.756 3.756
Sr 0.000 0.000 0.000

Unit: kJ/mol of atoms. Relative energies: *P* 0.0; *Q* 7.3; *R* 11.1; *S* 4.6.

*P*
5
Lattice="6.266 0.000 0.000 0.000 6.266 0.000 0.000 0.000 6.266" Properties=species:S:1:pos:R:3 comment="Sr3LiZr, relaxed, DFT PBE-GGA" sg="No. 221" mass_density_g_cm3=2.44 n_ef_per_ev_cell=8.3 pbc="T T T"
Sr 0.000 0.000 3.133
Sr 0.000 3.133 0.000
Sr 3.133 0.000 0.000
Li 3.133 3.133 3.133
Zr 0.000 0.000 0.000

*Q*
5
Lattice="5.981 0.000 0.000 0.000 5.981 0.000 0.000 0.000 5.981" Properties=species:S:1:pos:R:3 comment="Sr3LiZr, relaxed, DFT PBE-GGA" sg="No. 221" mass_density_g_cm3=2.80 n_ef_per_ev_cell=2.1 pbc="T T T"
Sr 0.000 0.000 2.990
Zr 2.990 2.990 2.990
Sr 2.990 0.000 0.000
Li 0.000 0.000 0.000
Sr 0.000 2.990 0.000

Unit: kJ/mol of atoms. Relative energies: *P* 5.9; *Q* 0.0.